No. 1
A relaxed Pr4GeBiTe2 crystal, computed with PBE.

Its density of states at the Fermi level is 1.7 states/eV per cell. The value obtained for the energy relative to the elements, uncorrected is -1230 meV per atom. Its crystal system is monoclinic.

The space group is P2/m (No. 10) and the conventional cell measures 7.847, 4.510 and 7.861 Å, with angles of 90.00, 109.25 and 90.00 degrees. The distinct sites, in fractional coordinates, are Pr at (0.230, 0.000, 0.231), Pr at (0.237, 0.500, 0.760), Ge at (0.000, 0.500, 0.000), Bi at (0.000, 0.000, 0.500), Te at (0.500, 0.000, 0.000) and Te at (0.500, 0.500, 0.500).


No. 2
A relaxed Pr8GeBi3Te4 crystal, computed with PBE.

Its density of states at the Fermi level is 20.6 states/eV per cell. The value obtained for the energy relative to the elements, uncorrected is -1225 meV per atom. Its crystal system is trigonal.

The space group is R-3m (No. 166, hexagonal axes) and the conventional cell measures 9.1342, 9.1342 and 22.2997 Å, with angles of 90.00, 90.00 and 120.00 degrees. The distinct sites, in fractional coordinates, are Pr at (0.0000, 0.0000, 0.2493), Pr at (0.0157, 0.5078, 0.2457), Ge at (0.0000, 0.0000, 0.5000), Bi at (0.0000, 0.5000, 0.5000), Te at (0.0000, 0.0000, 0.0000) and Te at (0.0000, 0.5000, 0.0000).


> Which of these has the lowest energy relative to the elements, uncorrected?

Pr4GeBiTe2


Copy entry 1 word for word.
A relaxed Pr4GeBiTe2 crystal, computed with PBE.

Its density of states at the Fermi level is 1.7 states/eV per cell. The value obtained for the energy relative to the elements, uncorrected is -1230 meV per atom. Its crystal system is monoclinic.

The space group is P2/m (No. 10) and the conventional cell measures 7.847, 4.510 and 7.861 Å, with angles of 90.00, 109.25 and 90.00 degrees. The distinct sites, in fractional coordinates, are Pr at (0.230, 0.000, 0.231), Pr at (0.237, 0.500, 0.760), Ge at (0.000, 0.500, 0.000), Bi at (0.000, 0.000, 0.500), Te at (0.500, 0.000, 0.000) and Te at (0.500, 0.500, 0.500).


> Among the records above, which one has the highest energy relative to the elements, uncorrected?

Pr8GeBi3Te4